# 1
DFT (PBE) results for an optimized crystal structure of Y2VHPd.

Output
The calculation puts the energy at -6.42 eV/atom.

a = 4.979 Å, b = 4.979 Å, c = 3.652 Å
α = 90.00°, β = 90.00°, γ = 90.00°
Space group P4/mmm (No. 123)
Inequivalent atoms, fractional coordinates:
Y (0.000, 0.500, 0.000)
V (0.000, 0.000, 0.500)
H (0.000, 0.000, 0.000)
Pd (0.500, 0.500, 0.500)


# 2
DFT (PBE) results for an optimized crystal structure of Ac2HoScBi4.

Output
The calculated formation energy is -0.842 eV per atom.

a = 7.989 Å, b = 4.640 Å, c = 8.029 Å
α = 90.00°, β = 109.58°, γ = 90.00°
Space group P2/m (No. 10)
Inequivalent atoms, fractional coordinates:
Ac (0.000, 0.000, 0.000)
Ac (0.000, 0.500, 0.500)
Ho (0.500, 0.000, 0.500)
Sc (0.500, 0.500, 0.000)
Bi (0.279, 0.500, 0.254)
Bi (0.283, 0.000, 0.767)